(1)
FeReSb3 | meta-GGA SCAN | single point on PBEsol structure

Values from the calculation:
V, Å³ per cell: 133.38
Space-group type: Pm-3m
Uncorrected formation energy, eV/atom: 1.1366

```
FeReSb3
1.0
5.109 0.000 0.000
0.000 5.109 0.000
0.000 0.000 5.109
Sb Fe Re
3 1 1
Cartesian
2.555 0.000 0.000 Sb
0.000 2.555 0.000 Sb
0.000 0.000 2.555 Sb
2.555 2.555 2.555 Fe
0.000 0.000 0.000 Re
```

(2)
KCd2GaIr | meta-GGA SCAN | single point on PBEsol structure

Values from the calculation:
V, Å³ per cell: 129.45
Space-group type: P4/mmm
Calculated formation energy, eV per atom: -0.2747

```
KCd2GaIr
1.0
-1.394 2.121 -4.012
-4.988 -0.546 1.445
0.184 4.640 2.389
Ir Ga Cd K
1 1 2 1
Cartesian
0.000 0.000 0.000 Ir
-0.697 1.060 -2.006 Ga
-2.494 -0.273 0.722 Cd
0.092 2.320 1.194 Cd
-3.099 3.107 -0.090 K
```

(3)
ScInMo2 | meta-GGA SCAN | single point on PBEsol structure

Values from the calculation:
V, Å³ per cell: 69.70
Space-group type: C2/m
Calculated formation energy, eV per atom: 0.1689

```
ScInMo2
1.0
-0.780 2.523 -0.940
-4.369 -1.403 2.919
4.455 1.425 2.779
Mo Sc In
2 1 1
Cartesian
-0.347 1.272 2.379 Mo
2.227 0.712 1.390 Mo
-0.390 1.262 -0.470 Sc
-2.185 -0.702 1.459 In
```